(one)
The following is a PBE-GGA calculation of crystalline Ta3TcCl at its relaxed geometry, from Alexandria via LeMat-Bulk.

Total magnetic moment (μB/f.u.): 0.00
Space-group type: No. 221

Cell lengths 4.4810, 4.4810, 4.4810 Å; angles 90.00, 90.00, 90.00 degrees
Positions (direct):
Ta (0.0000, 0.0000, 0.5000)
Ta (0.0000, 0.5000, 0.0000)
Ta (0.5000, 0.0000, 0.0000)
Tc (0.5000, 0.5000, 0.5000)
Cl (0.0000, 0.0000, 0.0000)

***

(two)
The following is a PBE-GGA calculation of crystalline Ta3TcCl at its relaxed geometry, from Alexandria via LeMat-Bulk.

Total magnetic moment (μB/f.u.): 0.00
Space-group type: No. 221

Cell lengths 4.8722, 4.8722, 4.8722 Å; angles 90.00, 90.00, 90.00 degrees
Positions (direct):
Ta (0.0000, 0.0000, 0.5000)
Ta (0.0000, 0.5000, 0.0000)
Ta (0.5000, 0.0000, 0.0000)
Tc (0.0000, 0.0000, 0.0000)
Cl (0.5000, 0.5000, 0.5000)

***

The structure shown above that is least stable: (two).